AcLaSm6Ho2: optimized geometry, PBE.

abc: 9.0305 9.0305 9.8190
angles: 93.17 93.17 117.61
With the nearest neighbours (Å) after each atom.
Fractional positions:
Ac 0.0318 0.9682 0.7500  4 Ho 3.51-3.57, 6 Sm 3.70-3.91
Ac 0.9682 0.0318 0.2500  4 Ho 3.51-3.57, 6 Sm 3.70-3.91
La 0.4082 0.5918 0.2500  6 Sm 3.51-3.66, 2 Ho 3.67
La 0.5918 0.4082 0.7500  6 Sm 3.51-3.66, 2 Ho 3.67
Sm 0.0205 0.5563 0.6768  3 Sm 3.27-3.65, 2 Ho 3.51-3.53, 1 La 3.59
Sm 0.1161 0.7499 0.0562  5 Sm 3.46-3.75, 1 Ho 3.59, 1 Ac 3.84
Sm 0.2501 0.8839 0.4438  5 Sm 3.46-3.75, 1 Ho 3.59, 1 Ac 3.84
Sm 0.2931 0.5107 0.8798  4 Sm 3.27-3.65, 3 Ho 3.34-3.51, 1 La 3.51
Sm 0.4437 0.9795 0.8232  3 Sm 3.27-3.65, 2 Ho 3.51-3.53, 1 La 3.59
Sm 0.4893 0.7069 0.6202  4 Sm 3.27-3.65, 3 Ho 3.34-3.51, 1 La 3.51
Sm 0.5107 0.2931 0.3798  4 Sm 3.27-3.65, 3 Ho 3.34-3.51, 1 La 3.51
Sm 0.5563 0.0205 0.1768  3 Sm 3.27-3.65, 2 Ho 3.51-3.53, 1 La 3.59
Sm 0.7069 0.4893 0.1202  4 Sm 3.27-3.65, 3 Ho 3.34-3.51, 1 La 3.51
Sm 0.7499 0.1161 0.5562  5 Sm 3.46-3.75, 1 Ho 3.59, 1 Ac 3.84
Sm 0.8839 0.2501 0.9438  5 Sm 3.46-3.75, 1 Ho 3.59, 1 Ac 3.84
Sm 0.9795 0.4437 0.3232  3 Sm 3.27-3.65, 2 Ho 3.51-3.53, 1 La 3.59
Ho 0.1976 0.3069 0.5473  6 Sm 3.34-3.59, 2 Ac 3.51-3.57, 1 La 3.67
Ho 0.3069 0.1976 0.0473  6 Sm 3.34-3.59, 2 Ac 3.51-3.57, 1 La 3.67
Ho 0.6931 0.8024 0.9527  6 Sm 3.34-3.59, 2 Ac 3.51-3.57, 1 La 3.67
Ho 0.8024 0.6931 0.4527  6 Sm 3.34-3.59, 2 Ac 3.51-3.57, 1 La 3.67

E_tot: -4.53 eV per atom
SG: No. 15
size of the total moment: 0.00 μB/f.u.
V: 35.28 A^3/atom
ΔE_f: 0.12 eV per atom

AcLaSmHo2: optimized geometry, PBE.

abc: 9.4201 9.4201 6.4869
angles: 90.00 90.00 138.95
With the nearest neighbours (Å) after each atom.
Fractional positions:
Ac 0.1558 0.8442 0.7500  1 La 3.36, 2 Sm 3.48, 4 Ho 3.61
Ac 0.8442 0.1558 0.2500  1 La 3.36, 2 Sm 3.48, 4 Ho 3.61
La 0.3460 0.6540 0.7500  1 Ac 3.36, 2 Sm 3.44, 4 Ho 3.55
La 0.6540 0.3460 0.2500  1 Ac 3.36, 2 Sm 3.44, 4 Ho 3.55
Sm 0.2814 0.7186 0.2500  2 La 3.44, 2 Ac 3.48
Sm 0.7186 0.2814 0.7500  2 La 3.44, 2 Ac 3.48
Ho 0.2565 0.2565 0.0000  4 Ho 3.22-3.39, 2 La 3.55
Ho 0.2565 0.2565 0.5000  4 Ho 3.22-3.39, 2 La 3.55
Ho 0.7435 0.7435 0.0000  4 Ho 3.22-3.39, 2 La 3.55
Ho 0.7435 0.7435 0.5000  4 Ho 3.22-3.39, 2 La 3.55

E_tot: -4.22 eV per atom
SG: No. 63
size of the total moment: 0.00 μB/f.u.
V: 37.81 A^3/atom
ΔE_f: 0.36 eV per atom

AcLaSmHo: optimized geometry, PBE.

abc: 5.9269 5.9269 5.9269
angles: 60.00 60.00 60.00
With the nearest neighbours (Å) after each atom.
Fractional positions:
Ac 0.0000 0.0000 0.0000  4 Ho 3.63, 4 Sm 3.63
La 0.5000 0.5000 0.5000  4 Ho 3.63, 4 Sm 3.63
Sm 0.2500 0.2500 0.2500  4 La 3.63, 4 Ac 3.63
Ho 0.7500 0.7500 0.7500  4 La 3.63, 4 Ac 3.63

E_tot: -4.48 eV per atom
SG: No. 216
size of the total moment: 0.00 μB/f.u.
energy relative to the lowest polymorph listed for this composition: 0.0 meV/atom
V: 36.80 A^3/atom
ΔE_f: 0.10 eV per atom

AcLa5SmHo2: optimized geometry, PBE.

abc: 12.6186 12.6186 9.6301
angles: 90.00 90.00 154.05
With the nearest neighbours (Å) after each atom.
Fractional positions:
Ac 0.1035 0.8965 0.5000  5 La 3.44-3.78
Ac 0.8965 0.1035 0.0000  5 La 3.44-3.78
La 0.0253 0.9747 0.8303  3 La 3.32-3.61, 2 Ho 3.56, 2 Ac 3.56-3.72
La 0.1061 0.8939 0.1070  2 La 3.32-3.56, 4 Ho 3.54-3.66
La 0.1877 0.8123 0.8022  3 Ho 3.45-3.47, 4 La 3.55-3.84, 3 Sm 3.56, 1 Ac 3.57
La 0.2403 0.7597 0.4269  3 Sm 3.17-3.33, 1 Ac 3.44, 2 La 3.55
La 0.4926 0.5074 0.6134  2 Ho 3.50-3.81, 4 La 3.61-3.73
La 0.5074 0.4926 0.1134  2 Ho 3.50-3.81, 4 La 3.61-3.73
La 0.7597 0.2403 0.9269  3 Sm 3.17-3.33, 1 Ac 3.44, 2 La 3.55
La 0.8123 0.1877 0.3022  3 Ho 3.45-3.47, 4 La 3.55-3.84, 3 Sm 3.56, 1 Ac 3.57
La 0.8939 0.1061 0.6070  2 La 3.32-3.56, 4 Ho 3.54-3.66
La 0.9747 0.0253 0.3303  3 La 3.32-3.61, 2 Ho 3.56, 2 Ac 3.56-3.72
Sm 0.2703 0.7297 0.1063  3 La 3.17-3.33
Sm 0.7297 0.2703 0.6063  3 La 3.17-3.33
Ho 0.3270 0.6730 0.7457  6 La 3.47-3.74, 1 Sm 3.74
Ho 0.3883 0.6117 0.3665  9 La 3.45-3.81, 1 Sm 3.83
Ho 0.6117 0.3883 0.8665  9 La 3.45-3.81, 1 Sm 3.83
Ho 0.6730 0.3270 0.2457  6 La 3.47-3.74, 1 Sm 3.74

E_tot: -4.59 eV per atom
SG: No. 36
size of the total moment: 0.00 μB/f.u.
V: 37.27 A^3/atom
ΔE_f: 0.14 eV per atom

SrAcLaHo: optimized geometry, PBE.

abc: 6.1243 6.1243 6.1243
angles: 60.00 60.00 60.00
With the nearest neighbours (Å) after each atom.
Fractional positions:
Sr 0.0000 0.0000 0.0000  4 Ac 3.75, 4 La 3.75
Ac 0.2500 0.2500 0.2500  4 Ho 3.75, 4 Sr 3.75
La 0.7500 0.7500 0.7500  4 Ho 3.75, 4 Sr 3.75
Ho 0.5000 0.5000 0.5000  4 Ac 3.75, 4 La 3.75

E_tot: -3.65 eV per atom
SG: No. 216
size of the total moment: 0.00 μB/f.u.
V: 40.61 A^3/atom
ΔE_f: 0.17 eV per atom

AcLa2Tb2Ho2: optimized geometry, PBE.

abc: 6.3797 6.3797 8.1537
angles: 97.69 97.69 48.20
With the nearest neighbours (Å) after each atom.
Fractional positions:
Ac 0.0000 0.0000 0.0000  2 Ho 3.66, 6 La 3.70-3.71, 4 Tb 3.74
La 0.2850 0.2850 0.8485  3 Ho 3.56-3.65, 4 Tb 3.65-3.78, 3 Ac 3.70-3.71, 2 La 3.76
La 0.7150 0.7150 0.1515  3 Ho 3.56-3.65, 4 Tb 3.65-3.78, 3 Ac 3.70-3.71, 2 La 3.76
Tb 0.4256 0.4256 0.2967  1 Tb 3.51, 5 Ho 3.58-3.68, 4 La 3.65-3.78, 2 Ac 3.74
Tb 0.5744 0.5744 0.7033  1 Tb 3.51, 5 Ho 3.58-3.68, 4 La 3.65-3.78, 2 Ac 3.74
Ho 0.1414 0.1414 0.4321  3 La 3.56-3.65, 5 Tb 3.58-3.68, 3 Ho 3.63-3.69, 1 Ac 3.66
Ho 0.8586 0.8586 0.5679  3 La 3.56-3.65, 5 Tb 3.58-3.68, 3 Ho 3.63-3.69, 1 Ac 3.66

E_tot: -4.58 eV per atom
SG: No. 12
size of the total moment: 0.00 μB/f.u.
V: 34.96 A^3/atom
ΔE_f: 0.05 eV per atom